Density functional theory data (GGA-PBE) for an optimized crystal structure of Mg2TlPb.

a b c (Å): 7.450 7.450 7.450
angles (deg): 90.00 90.00 90.00
Positions (direct):
Mg 0.250 0.250 0.250
Mg 0.250 0.250 0.750
Mg 0.250 0.750 0.250
Mg 0.250 0.750 0.750
Mg 0.750 0.250 0.250
Mg 0.750 0.250 0.750
Mg 0.750 0.750 0.250
Mg 0.750 0.750 0.750
Tl 0.000 0.000 0.000
Tl 0.000 0.500 0.500
Tl 0.500 0.000 0.500
Tl 0.500 0.500 0.000
Pb 0.000 0.000 0.500
Pb 0.000 0.500 0.000
Pb 0.500 0.000 0.000
Pb 0.500 0.500 0.500

Calculated values
magnetic moment: 0.00 Bohr magnetons per cell
DOS at the Fermi energy: 9.275 states/eV per cell
volume: 413.4 Å³/cell
excess energy over the best structure of this formula in the dataset: 1 meV per atom
formation energy: -0.050 eV/atom
calculated total energy: -2.366 eV per atom